# 1
This record from Alexandria describes a geometry-optimized LaMg2Al structure. The functional is PBE. Values from VASP.

```
&SYSTEM
  ibrav = 0, nat = 4, ntyp = 3
/
ATOMIC_SPECIES
Al 26.98 Al.upf
La 138.91 La.upf
Mg 24.30 Mg.upf
ATOMIC_POSITIONS angstrom
Al 3.0523 0.9225 1.4262
La 9.1570 2.7676 4.2786
Mg 10.5651 3.1932 0.3311
Mg 6.3187 1.9098 2.6472
CELL_PARAMETERS angstrom
5.8582 0.0784 0.0630
4.9209 3.1795 0.0630
1.4301 0.4322 5.5789
```

Output
Formation enthalpy at 0 K ... -0.06 eV/atom
ρ ... 3511 kg/m3
Symmetry ... C2/m (12)
Volume ... 101.5 Å³ per cell
Total moment ... 0.00 μB per cell


# 2
This record from Alexandria describes a geometry-optimized Zr5Hg2Pb structure. The functional is PBE. Values from VASP.

```
&SYSTEM
  ibrav = 0, nat = 16, ntyp = 3
/
ATOMIC_SPECIES
Zr 91.22 Zr.upf
Hg 200.59 Hg.upf
Pb 207.20 Pb.upf
ATOMIC_POSITIONS angstrom
Zr 3.1601 -1.6402 3.8958
Zr -2.1177 0.5772 4.9968
Zr 0.0000 0.0000 0.0000
Zr -1.2394 -4.3470 2.8134
Zr 5.3863 -3.3512 2.2328
Zr 1.0209 1.6281 4.9154
Zr 0.2612 -1.0362 6.6397
Zr 2.2477 -4.4021 2.3143
Zr 3.0073 -1.7378 0.5899
Zr 0.1084 -1.1338 3.3339
Hg 0.1771 -2.7859 0.8115
Hg -2.7836 -1.9976 3.5529
Hg 0.3048 -6.6963 2.0739
Hg -2.6558 -5.9081 4.8153
Pb 1.0146 -3.5605 5.0215
Pb 2.2540 0.7865 2.2081
CELL_PARAMETERS angstrom
-4.8715 -1.5553 5.5267
2.3928 -7.1386 0.1002
5.7473 5.9199 1.6028
```

Output
Formation enthalpy at 0 K ... -0.11 eV/atom
ρ ... 9588 kg/m3
Symmetry ... I4/mcm (140)
Volume ... 368.7 Å³ per cell
Total moment ... 0.00 μB per cell


# 3
This record from Alexandria describes a geometry-optimized SrEu2Y structure. The functional is PBE. Values from VASP.

```
&SYSTEM
  ibrav = 0, nat = 4, ntyp = 3
/
ATOMIC_SPECIES
Eu 151.96 Eu.upf
Y 88.91 Y.upf
Sr 87.62 Sr.upf
ATOMIC_POSITIONS angstrom
Eu -1.7296 -2.6158 2.0809
Eu -5.1888 -7.8473 6.2426
Y -3.4592 -5.2316 4.1617
Sr 0.0000 0.0000 0.0000
CELL_PARAMETERS angstrom
-3.6451 -0.9458 4.8568
-4.1072 -4.5710 -0.0843
0.8339 -4.9463 3.5510
```

Output
Formation enthalpy at 0 K ... 0.15 eV/atom
ρ ... 4861 kg/m3
Symmetry ... Fm-3m (225)
Volume ... 164.1 Å³ per cell
Total moment ... 14.47 μB per cell


# 4
This record from Alexandria describes a geometry-optimized Li2NbAg structure. The functional is PBE. Values from VASP.

```
&SYSTEM
  ibrav = 0, nat = 4, ntyp = 3
/
ATOMIC_SPECIES
Nb 92.91 Nb.upf
Ag 107.87 Ag.upf
Li 6.94 Li.upf
ATOMIC_POSITIONS angstrom
Nb 0.0000 0.0000 0.0000
Ag 3.1288 3.1288 3.1288
Li 1.5644 1.5644 1.5644
Li 4.6932 4.6932 4.6932
CELL_PARAMETERS angstrom
0.0000 3.1288 3.1288
3.1288 0.0000 3.1288
3.1288 3.1288 0.0000
```

Output
Formation enthalpy at 0 K ... 0.49 eV/atom
ρ ... 5819 kg/m3
Symmetry ... Fm-3m (225)
Volume ... 61.3 Å³ per cell
Total moment ... 0.00 μB per cell


# 5
This record from Alexandria describes a geometry-optimized TaGeAu2 structure. The functional is PBE. Values from VASP.

```
&SYSTEM
  ibrav = 0, nat = 4, ntyp = 3
/
ATOMIC_SPECIES
Ge 72.64 Ge.upf
Au 196.97 Au.upf
Ta 180.95 Ta.upf
ATOMIC_POSITIONS angstrom
Ge 2.8883 1.6675 5.2804
Au 1.4441 0.8338 7.8198
Au 4.3324 2.5013 2.7410
Ta 0.0000 0.0000 0.0000
CELL_PARAMETERS angstrom
2.8883 0.0000 0.0000
1.4441 2.5013 0.0000
1.4441 0.8338 10.5608
```

Output
Formation enthalpy at 0 K ... 0.36 eV/atom
ρ ... 14093 kg/m3
Symmetry ... R-3m (166)
Volume ... 76.3 Å³ per cell
Total moment ... 0.00 μB per cell


# 6
This record from Alexandria describes a geometry-optimized Pm7Dy12Cd structure. The functional is PBE. Values from VASP.

```
&SYSTEM
  ibrav = 0, nat = 20, ntyp = 3
/
ATOMIC_SPECIES
Pm 145.00 Pm.upf
Dy 162.50 Dy.upf
Cd 112.41 Cd.upf
ATOMIC_POSITIONS angstrom
Pm -6.9873 3.5906 4.2075
Pm -5.4034 5.6333 1.5987
Pm -7.2811 0.0677 3.2240
Pm -7.1519 2.6455 0.7830
Pm -7.0227 5.2234 -1.6580
Pm -8.9005 -0.3423 -0.0327
Pm -7.3165 1.7004 -2.6415
Dy -4.2388 5.2895 4.8638
Dy -6.6540 8.2510 0.0283
Dy -4.1191 2.9278 -1.1657
Dy -10.3484 2.9945 -0.8794
Dy -8.6190 1.1225 6.0495
Dy -9.1366 5.6137 1.3892
Dy -5.1672 -0.3227 0.1768
Dy -5.6848 4.1685 -4.4835
Dy -3.9554 2.2966 2.4454
Dy -10.1848 2.3632 2.7317
Dy -7.6498 -2.9599 1.5377
Dy -10.0650 0.0015 -3.2978
Cd 0.0000 0.0000 0.0000
CELL_PARAMETERS angstrom
-5.4811 1.9317 -6.5301
-6.5294 -4.0908 4.1275
-2.2933 7.4502 3.9686
```

Output
Formation enthalpy at 0 K ... 0.19 eV/atom
ρ ... 7647 kg/m3
Symmetry ... P-1 (2)
Volume ... 668.2 Å³ per cell
Total moment ... 0.00 μB per cell


Q: Which value of total moment does entry 3 give?
A: 14.47 μB per cell


Q: What is the formula in the fourth record?
A: Li2NbAg


Q: The highest ρ belongs to which entry?
A: TaGeAu2


Q: ρ of number 1 (LaMg2Al)?
A: 3511 kg/m3